P | AgPdAu3 | PBE | relaxed

Unit cell a=5.029 b=5.029 c=5.029 alpha=90.00 beta=90.00 gamma=90.00
Element x y z (fractional)
Ag1 0.000 0.000 0.000
Pd1 0.500 0.500 0.500
Au1 0.000 0.000 0.500
Au2 0.000 0.500 0.000
Au3 0.500 0.000 0.000

## Properties
Crystal system: cubic
Symmetry: Pm-3m

---

Q | AgPdAu3 | PBE | relaxed

Unit cell a=4.195 b=6.819 c=6.568 alpha=90.00 beta=90.00 gamma=90.00
Element x y z (fractional)
Ag1 0.250 0.250 0.238
Ag2 0.750 0.750 0.762
Pd1 0.250 0.750 0.048
Pd2 0.750 0.250 0.952
Au1 0.250 0.044 0.762
Au2 0.250 0.456 0.762
Au3 0.250 0.750 0.465
Au4 0.750 0.250 0.535
Au5 0.750 0.544 0.238
Au6 0.750 0.956 0.238

## Properties
Crystal system: orthorhombic
Symmetry: Pmmn

---

Which one sits at the bottom of the stability order? P does.